# 1
Compound: CaY3Zn
Source: the Alexandria database
Functional: PBE-GGA
Structure: relaxed

The structure in POSCAR format:
```
CaY3Zn
1.0
5.558 0.000 0.000
0.000 5.558 0.000
0.000 0.000 5.558
Ca Y Zn
1 3 1
direct
0.000 0.000 0.000 Ca
0.000 0.000 0.500 Y
0.000 0.500 0.000 Y
0.500 0.000 0.000 Y
0.500 0.500 0.500 Zn
```

Computed properties:
offset from the most stable computed form = 4.641 eV per formula unit

# 2
Compound: CaYZn2
Source: the Alexandria database
Functional: PBE-GGA
Structure: relaxed

The structure in POSCAR format:
```
CaYZn2
1.0
3.488 0.000 0.000
0.000 3.488 0.000
0.000 0.000 8.181
Ca Y Zn
1 1 2
direct
0.000 0.000 0.000 Ca
0.500 0.500 0.370 Y
0.000 0.000 0.593 Zn
0.500 0.500 0.756 Zn
```

Computed properties:
E_tot = -2.855 eV per atom